(1)
Below is a relaxed structure of RbCuTe2OsS, with properties calculated at the GGA-PBE level.

Cell and atoms, written as extended XYZ:
```
12
Lattice="2.089 -8.396 0.000 2.089 8.396 0.000 0.000 0.000 8.836" Properties=species:S:1:pos:R:3 pbc="T T T"
Te 2.089 1.641 3.795
Te 2.089 -1.641 5.042
Te 2.089 -1.641 8.213
Te 2.089 1.641 0.624
Cu 2.089 0.517 6.627
Cu 2.089 -0.517 2.209
Os 0.000 0.000 0.000
Os 0.000 0.000 4.418
Rb 2.089 -4.098 2.209
Rb 2.089 4.098 6.627
S 2.089 -7.116 6.627
S 2.089 7.116 2.209
```

(2)
Below is a relaxed structure of RbCuOsSe3, with properties calculated at the GGA-PBE level.

Cell and atoms, written as extended XYZ:
```
12
Lattice="2.321 4.729 -5.922 -5.463 -4.373 3.721 -2.720 7.770 5.138" Properties=species:S:1:pos:R:3 pbc="T T T"
Cu -3.841 5.737 3.038
Cu -2.021 2.389 -0.101
Se 1.115 6.056 -3.986
Se -3.858 3.405 2.685
Se -6.977 2.070 6.923
Se -5.006 6.686 4.855
Se -2.005 4.721 0.252
Se -0.856 1.440 -1.918
Rb -1.589 8.369 0.249
Rb -4.273 -0.243 2.689
Os 0.000 0.000 0.000
Os -1.360 3.885 2.569
```

(3)
Below is a relaxed structure of RbCu3Te4Os, with properties calculated at the GGA-PBE level.

Cell and atoms, written as extended XYZ:
```
9
Lattice="6.594 0.000 0.000 0.000 6.594 0.000 0.000 0.000 6.594" Properties=species:S:1:pos:R:3 pbc="T T T"
Rb 0.000 0.000 0.000
Cu 3.297 0.000 3.297
Cu 0.000 3.297 3.297
Cu 3.297 3.297 0.000
Te 4.743 4.743 1.851
Te 4.743 1.851 4.743
Te 1.851 1.851 1.851
Te 1.851 4.743 4.743
Os 3.297 3.297 3.297
```

(4)
4
Lattice="0.000 3.015 3.015 3.015 0.000 3.015 3.015 3.015 0.000" Properties=species:S:1:pos:R:3 comment="GGA-PBE CuReSiOs, optimized geometry" polymorph_energy_ev_per_atom=0.000 pbc="T T T"
Re 1.508 1.508 1.508
Si 0.000 0.000 0.000
Cu 4.523 4.523 4.523
Os 3.015 3.015 3.015

(5)
4
Lattice="-3.539 0.471 2.641 -1.215 4.041 1.385 -3.711 1.863 -1.573" Properties=species:S:1:pos:R:3 comment="GGA-PBE CuReSnOs, optimized geometry" polymorph_energy_ev_per_atom=0.000 pbc="T T T"
Re -4.233 3.188 1.226
Cu -6.349 4.782 1.839
Sn 0.000 0.000 0.000
Os -2.116 1.594 0.613

(6)
4
Lattice="-3.030 -3.264 -0.442 -1.407 -2.250 3.603 -4.166 0.593 1.522" Properties=species:S:1:pos:R:3 comment="GGA-PBE TlCuReOs, optimized geometry" polymorph_energy_ev_per_atom=0.000 pbc="T T T"
Cu -6.453 -3.690 3.513
Os -2.151 -1.230 1.171
Tl 0.000 0.000 0.000
Re -4.302 -2.460 2.342

(7)
4
Lattice="0.000 2.993 2.993 2.993 0.000 2.993 2.993 2.993 0.000" Properties=species:S:1:pos:R:3 comment="GGA-PBE ZnCuReOs, optimized geometry" polymorph_energy_ev_per_atom=0.314 ef_ev_per_atom=0.564 pbc="T T T"
Re 2.993 2.993 2.993
Os 0.000 0.000 0.000
Cu 4.490 4.490 4.490
Zn 1.497 1.497 1.497

(8)
4
Lattice="0.000 3.024 3.024 3.024 0.000 3.024 3.024 3.024 0.000" Properties=species:S:1:pos:R:3 comment="GGA-PBE ZnCuReOs, optimized geometry" polymorph_energy_ev_per_atom=0.000 ef_ev_per_atom=0.250 pbc="T T T"
Zn 0.000 0.000 0.000
Re 3.024 3.024 3.024
Os 1.512 1.512 1.512
Cu 4.537 4.537 4.537

(9)
Below is a relaxed structure of Cu3OsS4, with properties calculated at the GGA-PBE level.

Cell and atoms, written as extended XYZ:
```
8
Lattice="-2.616 2.616 5.213 2.616 -2.616 5.213 2.616 2.616 -5.213" Properties=species:S:1:pos:R:3 pbc="T T T"
S -1.327 1.327 3.923
S 1.289 1.289 1.290
S 1.327 -1.327 3.923
S 1.327 1.327 6.503
Cu 0.000 0.000 5.213
Cu 2.616 0.000 2.606
Cu 0.000 2.616 2.606
Os 0.000 0.000 0.000
```

(10)
8
Lattice="3.898 -4.026 0.000 3.898 4.026 0.000 0.000 0.000 5.581" Properties=species:S:1:pos:R:3 comment="GGA-PBE Cu3OsSe2S2, optimized geometry" polymorph_energy_ev_per_atom=0.068 pbc="T T T"
S 3.898 -2.209 4.276
S 3.898 2.209 4.276
Cu 1.949 -2.013 5.481
Cu 1.949 2.013 5.481
Cu 0.000 0.000 2.813
Se 2.006 0.000 1.367
Se 5.789 0.000 1.367
Os 0.000 0.000 0.052

(11)
8
Lattice="-1.318 2.297 -5.994 -5.546 2.319 -2.608 2.581 3.539 3.199" Properties=species:S:1:pos:R:3 comment="GGA-PBE Cu3OsSe2S2, optimized geometry" polymorph_energy_ev_per_atom=0.000 pbc="T T T"
Cu -4.576 4.257 -5.732
Cu 0.283 3.898 0.338
Cu -2.241 4.078 -2.621
Os -5.468 2.319 -2.670
S -3.346 2.180 -2.001
S -3.076 5.986 -1.689
Se 0.137 3.952 -2.081
Se -2.248 4.191 -5.061

(12)
Below is a relaxed structure of TlCuOsSe2S, with properties calculated at the GGA-PBE level.

Cell and atoms, written as extended XYZ:
```
12
Lattice="1.887 -7.133 0.000 1.887 7.133 0.000 0.000 0.000 9.328" Properties=species:S:1:pos:R:3 pbc="T T T"
Se 1.887 -5.449 4.307
Se 1.887 5.449 5.021
Se 1.887 -5.449 0.357
Se 1.887 5.449 8.971
S 1.887 0.908 6.996
S 1.887 -0.908 2.332
Tl 1.887 3.653 2.332
Tl 1.887 -3.653 6.996
Os 1.887 0.000 4.664
Os 1.887 0.000 0.000
Cu 1.887 6.751 6.996
Cu 1.887 -6.751 2.332
```

Looking at electronic total energy for the records above, in order, we have -4.550, -4.667, -3.853, -7.927, -7.306, -6.599, -6.594, -6.908, -5.020, -4.727, -4.794, -4.794 eV per atom.